Record 1
Sm2Ni12B3Rh | PBE-GGA | optimized geometry

a b c (Å): 6.929 6.929 6.929
angles (deg): 60.70 60.70 60.70
Atoms (fractional coordinates):
Sm 0.595 0.595 0.595
Sm 0.405 0.405 0.405
Ni 0.268 0.268 0.880
Ni 0.858 0.858 0.444
Ni 0.444 0.858 0.858
Ni 0.880 0.268 0.268
Ni 0.858 0.444 0.858
Ni 0.268 0.880 0.268
Ni 0.732 0.732 0.120
Ni 0.142 0.142 0.556
Ni 0.556 0.142 0.142
Ni 0.120 0.732 0.732
Ni 0.142 0.556 0.142
Ni 0.732 0.120 0.732
B 0.500 0.000 0.000
B 0.000 0.500 0.000
B 0.000 0.000 0.500
Rh 0.000 0.000 0.000

## Properties
DFT formation energy = 0.0 eV per formula unit
total energy = -5.898 eV per atom
ρ = 7.92 g cm⁻³
M_tot = 0.000 μB per formula unit

***

Record 2
Ni4Sn3B2Rh3 | PBE-GGA | optimized geometry

a b c (Å): 3.904 4.101 11.147
angles (deg): 100.60 100.08 90.00
Atoms (fractional coordinates):
Ni 0.406 0.889 0.779
Ni 0.209 0.186 0.371
Ni 0.838 0.814 0.629
Ni 0.627 0.111 0.221
Sn 0.464 0.500 0.000
Sn 0.315 0.305 0.609
Sn 0.706 0.695 0.391
B 0.117 0.094 0.189
B 0.928 0.906 0.811
Rh 0.904 0.000 0.000
Rh 0.103 0.596 0.191
Rh 0.912 0.404 0.809

## Properties
DFT formation energy = -2.9 eV per formula unit
total energy = -6.121 eV per atom
ρ = 8.86 g cm⁻³
M_tot = 0.000 μB per formula unit